BaPbNO2 | GGA-PBE | optimized geometry

## Properties
- ΔE_f (raw): -0.704 eV per atom
- Density of states at the Fermi level: 0.54 states/eV/atom
- Electronic total energy: -5.478 eV per atom

a = 4.4759 Å, b = 4.4759 Å, c = 4.5424 Å
α = 90.00°, β = 90.00°, γ = 90.00°
Space group P4/mmm (No. 123)
Symmetry-distinct sites (fractional):
Ba: 0.0000 0.0000 0.0000 (multiplicity 1)
Pb: 0.5000 0.5000 0.5000 (multiplicity 1)
N: 0.5000 0.5000 0.0000 (multiplicity 1)
O: 0.0000 0.5000 0.5000 (multiplicity 2)

=====

CdHg2Ru | GGA-PBE | optimized geometry

## Properties
- Density of states at the Fermi level: 0.64 states/eV/atom
- Calculated formation energy: 447 meV/atom
- Electronic total energy: -2.252 eV per atom

a = 3.0499 Å, b = 4.8191 Å, c = 5.4298 Å
α = 90.00°, β = 94.05°, γ = 90.00°
Space group P2/m (No. 10)
Symmetry-distinct sites (fractional):
Cd: 0.0000 0.0000 0.0000 (multiplicity 1)
Hg: 0.2546 0.5000 0.7377 (multiplicity 2)
Ru: 0.5000 0.0000 0.5000 (multiplicity 1)

=====

SmMgTlAu | GGA-PBE | optimized geometry

## Properties
- Density of states at the Fermi level: 0.57 states/eV/atom
- Calculated formation energy: -504 meV/atom
- Electronic total energy: -3.493 eV per atom

a = 7.2257 Å, b = 7.2257 Å, c = 7.2257 Å
α = 90.00°, β = 90.00°, γ = 90.00°
Space group F-43m (No. 216)
Symmetry-distinct sites (fractional):
Sm: 0.0000 0.0000 0.0000 (multiplicity 4)
Mg: 0.0000 0.0000 0.5000 (multiplicity 4)
Tl: 0.2500 0.2500 0.2500 (multiplicity 4)
Au: 0.2500 0.2500 0.7500 (multiplicity 4)

=====

PrSm2Tl | GGA-PBE | optimized geometry

## Properties
- Density of states at the Fermi level: 1.71 states/eV/atom
- Calculated formation energy: -199 meV/atom
- Electronic total energy: -4.345 eV per atom

a = 4.9943 Å, b = 4.9943 Å, c = 4.9279 Å
α = 90.00°, β = 90.00°, γ = 90.00°
Space group P4/mmm (No. 123)
Symmetry-distinct sites (fractional):
Pr: 0.0000 0.0000 0.0000 (multiplicity 1)
Sm: 0.0000 0.5000 0.5000 (multiplicity 2)
Tl: 0.5000 0.5000 0.0000 (multiplicity 1)

=====

SrAc2Pd | GGA-PBE | optimized geometry

## Properties
- Density of states at the Fermi level: 1.32 states/eV/atom
- Calculated formation energy: -351 meV/atom
- Electronic total energy: -4.124 eV per atom

a = 4.3555 Å, b = 4.3555 Å, c = 31.5201 Å
α = 90.00°, β = 90.00°, γ = 120.00°
Space group R-3m (No. 166, hexagonal axes)
Symmetry-distinct sites (fractional):
Sr: 0.0000 0.0000 0.0000 (multiplicity 3)
Ac: 0.0000 0.0000 0.2215 (multiplicity 6)
Pd: 0.0000 0.0000 0.5000 (multiplicity 3)

=====

Ti2BeN | GGA-PBE | optimized geometry

## Properties
- ΔE_f (raw): -0.923 eV per atom
- Density of states at the Fermi level: 0.49 states/eV/atom
- Electronic total energy: -7.883 eV per atom

a = 3.0474 Å, b = 18.1316 Å, c = 3.2391 Å
α = 90.00°, β = 90.00°, γ = 90.00°
Space group Cmcm (No. 63)
Symmetry-distinct sites (fractional):
Ti: 0.0000 0.0821 0.2500 (multiplicity 4)
Ti: 0.0000 0.3047 0.2500 (multiplicity 4)
Be: 0.0000 0.4661 0.2500 (multiplicity 4)
N: 0.0000 0.1921 0.2500 (multiplicity 4)

=====

Li17Pt2 | GGA-PBE | optimized geometry

## Properties
- Density of states at the Fermi level: 0.46 states/eV/atom
- Calculated formation energy: -68 meV/atom
- Electronic total energy: -2.416 eV per atom

a = 7.3314 Å, b = 7.3314 Å, c = 20.3582 Å
α = 90.00°, β = 90.00°, γ = 120.00°
Space group R-3m (No. 166, hexagonal axes)
Symmetry-distinct sites (fractional):
Li: 0.0000 0.0000 0.0848 (multiplicity 6)
Li: 0.0000 0.3309 0.0000 (multiplicity 18)
Li: 0.0000 0.5000 0.5000 (multiplicity 9)
Li: 0.0737 0.5368 0.1073 (multiplicity 18)
Pt: 0.0000 0.0000 0.2722 (multiplicity 6)

=====

POsN2 | GGA-PBE | optimized geometry

## Properties
- ΔE_f (raw): 0.360 eV per atom
- Density of states at the Fermi level: 0.35 states/eV/atom
- Electronic total energy: -7.963 eV per atom

a = 8.2641 Å, b = 3.7676 Å, c = 2.7986 Å
α = 90.00°, β = 95.85°, γ = 90.00°
Space group Cm (No. 8)
Symmetry-distinct sites (fractional):
P: 0.0000 0.0000 0.0000 (multiplicity 2)
Os: 0.2382 0.5000 0.5759 (multiplicity 2)
N: 0.0584 0.5000 0.0250 (multiplicity 2)
N: 0.1464 0.0000 0.5529 (multiplicity 2)

=====

NdTm3S4 | GGA-PBE | optimized geometry

## Properties
- ΔE_f (raw): -1.944 eV per atom
- Density of states at the Fermi level: 0.55 states/eV/atom
- Electronic total energy: -6.281 eV per atom

a = 7.9097 Å, b = 11.0406 Å, c = 3.8479 Å
α = 90.00°, β = 90.00°, γ = 90.00°
Space group Cmmm (No. 65)
Symmetry-distinct sites (fractional):
Nd: 0.0000 0.0000 0.0000 (multiplicity 2)
Tm: 0.0000 0.5000 0.0000 (multiplicity 2)
Tm: 0.2500 0.2500 0.5000 (multiplicity 4)
S: 0.0000 0.2568 0.0000 (multiplicity 4)
S: 0.2359 0.5000 0.5000 (multiplicity 4)

=====

K4ZrNp3Te8 | GGA-PBE | optimized geometry

## Properties
- ΔE_f (raw): -0.907 eV per atom
- Density of states at the Fermi level: 1.99 states/eV/atom
- Electronic total energy: -5.713 eV per atom

a = 8.9096 Å, b = 8.9096 Å, c = 24.8580 Å
α = 90.00°, β = 90.00°, γ = 120.00°
Space group R-3m (No. 166, hexagonal axes)
Symmetry-distinct sites (fractional):
K: 0.0000 0.0000 0.0000 (multiplicity 3)
K: 0.0000 0.5000 0.0000 (multiplicity 9)
Zr: 0.0000 0.0000 0.5000 (multiplicity 3)
Np: 0.0000 0.5000 0.5000 (multiplicity 9)
Te: 0.0000 0.0000 0.2380 (multiplicity 6)
Te: 0.0131 0.5066 0.2357 (multiplicity 18)

=====

Nd2Al3GaCu4 | GGA-PBE | optimized geometry

## Properties
- Density of states at the Fermi level: 0.54 states/eV/atom
- Calculated formation energy: -405 meV/atom
- Electronic total energy: -4.422 eV per atom

a = 4.2360 Å, b = 4.2360 Å, c = 10.1525 Å
α = 90.00°, β = 90.00°, γ = 90.00°
Space group P-4m2 (No. 115)
Symmetry-distinct sites (fractional):
Nd: 0.0000 0.5000 0.2466 (multiplicity 2)
Al: 0.0000 0.5000 0.8734 (multiplicity 2)
Al: 0.5000 0.5000 0.5000 (multiplicity 1)
Ga: 0.0000 0.0000 0.5000 (multiplicity 1)
Cu: 0.0000 0.0000 0.0000 (multiplicity 1)
Cu: 0.0000 0.5000 0.6325 (multiplicity 2)
Cu: 0.5000 0.5000 0.0000 (multiplicity 1)

=====

RbSnTe2Se4 | GGA-PBE | optimized geometry

## Properties
- ΔE_f (raw): -0.360 eV per atom
- Density of states at the Fermi level: 0.61 states/eV/atom
- Electronic total energy: -3.509 eV per atom

a = 7.7954 Å, b = 8.2137 Å, c = 8.9596 Å
α = 90.00°, β = 90.00°, γ = 90.00°
Space group I222 (No. 23)
Symmetry-distinct sites (fractional):
Rb: 0.0000 0.0000 0.0000 (multiplicity 2)
Sn: 0.0000 0.0000 0.5000 (multiplicity 2)
Te: 0.0000 0.5000 0.1553 (multiplicity 4)
Se: 0.1917 0.1813 0.3322 (multiplicity 8)

=====

Number 6 is which compound?
Ti2BeN

=====

What is the formula in the twelfth record?
RbSnTe2Se4